No. 1
First-principles (PBE-GGA) data for SnSbIO2 after structural relaxation, as listed in Alexandria via LeMat-Bulk.

It has space group P2_1/m (No. 11), with a = 7.2442 Å, b = 4.1961 Å, c = 8.6182 Å, α = 90.00°, β = 104.65° and γ = 90.00°. The asymmetric unit holds Sn at (0.0527, 0.2500, 0.3356), Sb at (0.4372, 0.7500, 0.6372), I at (0.2119, 0.2500, 0.8912), O at (0.1534, 0.7500, 0.5192) and O at (0.4565, 0.2500, 0.5635).

For the raw total energy, the calculation gives -25.0 eV/f.u. The calculation puts the density of states at the Fermi level at 0.00 states/eV/atom. Its magnetization is 0.00 Bohr magnetons per cell. The calculation puts the uncorrected formation energy at -1.073 eV/atom.

=====

No. 2
First-principles (PBE-GGA) data for Nd2PtSe after structural relaxation, as listed in Alexandria via LeMat-Bulk.

It has space group R-3m (No. 166, hexagonal axes), with a = 4.1544 Å, b = 4.1544 Å, c = 21.9222 Å, α = 90.00°, β = 90.00° and γ = 120.00°. The asymmetric unit holds Nd at (0.0000, 0.0000, 0.2440), Pt at (0.0000, 0.0000, 0.5000) and Se at (0.0000, 0.0000, 0.0000).

For the offset from the most stable computed form, the calculation gives 30 meV/atom. For the raw total energy, the calculation gives -24.8 eV/f.u. The calculation puts the density of states at the Fermi level at 0.59 states/eV/atom. Its magnetization is 0.00 Bohr magnetons per cell. The calculation puts the uncorrected formation energy at -1.434 eV/atom.

=====

No. 3
First-principles (PBE-GGA) data for Na3Li2Sb4 after structural relaxation, as listed in Alexandria via LeMat-Bulk.

It has space group C2/c (No. 15), with a = 17.1907 Å, b = 9.8021 Å, c = 5.9552 Å, α = 90.00°, β = 92.58° and γ = 90.00°. The asymmetric unit holds Na at (0.0000, 0.0579, 0.2500), Na at (0.1043, 0.4031, 0.3889), Li at (0.2114, 0.1340, 0.1299), Sb at (0.0723, 0.2711, 0.8878) and Sb at (0.2022, 0.1537, 0.6345).

For the raw total energy, the calculation gives -27.2 eV/f.u. The calculation puts the density of states at the Fermi level at 0.30 states/eV/atom. Its magnetization is 0.00 Bohr magnetons per cell. The calculation puts the uncorrected formation energy at -0.321 eV/atom.

=====

No. 4
First-principles (PBE-GGA) data for Pa4As2PS after structural relaxation, as listed in Alexandria via LeMat-Bulk.

It has space group P2/m (No. 10), with a = 6.9025 Å, b = 4.0349 Å, c = 6.9799 Å, α = 90.00°, β = 109.73° and γ = 90.00°. The asymmetric unit holds Pa at (0.2334, 0.0000, 0.2439), Pa at (0.2344, 0.5000, 0.7451), As at (0.5000, 0.0000, 0.0000), As at (0.5000, 0.5000, 0.5000), P at (0.0000, 0.0000, 0.5000) and S at (0.0000, 0.5000, 0.0000).

For the raw total energy, the calculation gives -67.0 eV/f.u. The calculation puts the density of states at the Fermi level at 1.42 states/eV/atom. Its magnetization is 0.00 Bohr magnetons per cell. The calculation puts the uncorrected formation energy at -1.268 eV/atom.

=====

No. 5
First-principles (PBE-GGA) data for CaEr2PuBi4 after structural relaxation, as listed in Alexandria via LeMat-Bulk.

It has space group P2/m (No. 10), with a = 7.7769 Å, b = 4.5064 Å, c = 7.8548 Å, α = 90.00°, β = 109.14° and γ = 90.00°. The asymmetric unit holds Ca at (0.0000, 0.0000, 0.0000), Er at (0.0000, 0.5000, 0.5000), Er at (0.5000, 0.0000, 0.5000), Pu at (0.5000, 0.5000, 0.0000), Bi at (0.2504, 0.0000, 0.7434) and Bi at (0.2565, 0.5000, 0.2585).

For the raw total energy, the calculation gives -46.2 eV/f.u. The formation energy is -650 meV/atom. The calculation puts the density of states at the Fermi level at 2.29 states/eV/atom. Its magnetization is 4.78 Bohr magnetons per cell.

=====

No. 6
First-principles (PBE-GGA) data for Ga6Cu3Ir after structural relaxation, as listed in Alexandria via LeMat-Bulk.

It has space group P2_1/c (No. 14), with a = 6.8929 Å, b = 6.3836 Å, c = 8.9197 Å, α = 90.00°, β = 124.24° and γ = 90.00°. The asymmetric unit holds Ga at (0.0514, 0.0465, 0.3011), Ga at (0.2524, 0.6812, 0.1018), Ga at (0.3894, 0.1033, 0.0566), Cu at (0.2905, 0.1895, 0.7446), Cu at (0.5000, 0.0000, 0.5000) and Ir at (0.0000, 0.0000, 0.0000).

For the raw total energy, the calculation gives -40.0 eV/f.u. The formation energy is -73 meV/atom. The calculation puts the density of states at the Fermi level at 0.25 states/eV/atom. Its magnetization is 0.00 Bohr magnetons per cell.

=====

No. 7
First-principles (PBE-GGA) data for NaAlTeRu2 after structural relaxation, as listed in Alexandria via LeMat-Bulk.

It has space group P4/mmm (No. 123), with a = 4.5699 Å, b = 4.5699 Å, c = 4.8343 Å, α = 90.00°, β = 90.00° and γ = 90.00°. The asymmetric unit holds Na at (0.0000, 0.0000, 0.0000), Al at (0.0000, 0.0000, 0.5000), Te at (0.5000, 0.5000, 0.0000) and Ru at (0.0000, 0.5000, 0.5000).

For the raw total energy, the calculation gives -22.8 eV/f.u. The calculation puts the density of states at the Fermi level at 0.92 states/eV/atom. Its magnetization is 0.00 Bohr magnetons per cell. The calculation puts the uncorrected formation energy at 0.790 eV/atom.

=====

No. 8
First-principles (PBE-GGA) data for Sm3ZrAl8 after structural relaxation, as listed in Alexandria via LeMat-Bulk.

It has space group P3m1 (No. 156), with a = 5.5289 Å, b = 5.5289 Å, c = 9.2045 Å, α = 90.00°, β = 90.00° and γ = 120.00°. The asymmetric unit holds Sm at (0.0000, 0.0000, 0.0000), Sm at (0.0000, 0.0000, 0.3663), Sm at (0.3333, 0.6667, 0.8624), Zr at (0.3333, 0.6667, 0.4998), Al at (0.0088, 0.5044, 0.1881), Al at (0.3263, 0.1631, 0.6736), Al at (0.6667, 0.3333, 0.4319) and Al at (0.6667, 0.3333, 0.9286).

For the offset from the most stable computed form, the calculation gives 11 meV/atom. For the raw total energy, the calculation gives -58.4 eV/f.u. The formation energy is -482 meV/atom. The calculation puts the density of states at the Fermi level at 0.62 states/eV/atom. Its magnetization is 0.00 Bohr magnetons per cell.

=====

No. 9
First-principles (PBE-GGA) data for Be3SiAu after structural relaxation, as listed in Alexandria via LeMat-Bulk.

It has space group Pm-3m (No. 221), with a = 4.2039 Å, b = 4.2039 Å, c = 4.2039 Å, α = 90.00°, β = 90.00° and γ = 90.00°. The asymmetric unit holds Be at (0.0000, 0.0000, 0.5000), Si at (0.0000, 0.0000, 0.0000) and Au at (0.5000, 0.5000, 0.5000).

For the offset from the most stable computed form, the calculation gives 0 meV/atom. For the raw total energy, the calculation gives -16.2 eV/f.u. The calculation puts the density of states at the Fermi level at 0.35 states/eV/atom. Its magnetization is 0.00 Bohr magnetons per cell. The calculation puts the uncorrected formation energy at 0.733 eV/atom.

=====

No. 10
First-principles (PBE-GGA) data for LiCdOs2 after structural relaxation, as listed in Alexandria via LeMat-Bulk.

It has space group Cm (No. 8), with a = 8.7657 Å, b = 2.7822 Å, c = 5.1365 Å, α = 90.00°, β = 96.30° and γ = 90.00°. The asymmetric unit holds Li at (0.0000, 0.0000, 0.0000), Cd at (0.2440, 0.0000, 0.7943), Os at (0.2571, 0.5000, 0.2948) and Os at (0.4983, 0.0000, 0.4572).

For the raw total energy, the calculation gives -24.0 eV/f.u. The formation energy is 313 meV/atom. The calculation puts the density of states at the Fermi level at 0.58 states/eV/atom. Its magnetization is 0.00 Bohr magnetons per cell.